No. 1
Here is a relaxed MgAlTe2 crystal from Alexandria. Energies are from GGA-PBE.

Cell: 4.1987 4.2309 5.8717 Å, 90.00 90.00 90.00°
Fractional coordinates of all 4 atoms:
Mg 0.0000 0.0000 0.0000
Al 0.5000 0.5000 0.5000
Te 0.0000 0.0000 0.5000
Te 0.5000 0.5000 0.0000

The density comes out at 4.88 g cm⁻³. Its crystal system is orthorhombic. For the calculated total energy, the calculation gives -3.396 eV/atom. Its formation energy (no corrections) is -0.49 eV per atom. As for the calculated volume: 26.1 Å³/atom. The density of states at the Fermi level is 1.32 states/eV/cell.

***

No. 2
Here is a relaxed LiScOF2 crystal from Alexandria. Energies are from GGA-PBE.

Cell: 3.4116 3.4116 3.9969 Å, 90.00 90.00 90.00°
Fractional coordinates of all 5 atoms:
Li 0.0000 0.0000 0.0000
Sc 0.5000 0.5000 0.5000
O 0.0000 0.0000 0.5000
F 0.0000 0.5000 0.0000
F 0.5000 0.0000 0.0000

The density comes out at 3.78 g cm⁻³. Its crystal system is tetragonal. For the calculated total energy, the calculation gives -6.114 eV/atom. Its formation energy (no corrections) is -2.72 eV per atom. As for the calculated volume: 9.3 Å³/atom. The density of states at the Fermi level is 0.00 states/eV/cell.

***

No. 3
Here is a relaxed Nd6Sn2Te3P crystal from Alexandria. Energies are from GGA-PBE.

Cell: 10.0108 10.0108 8.9964 Å, 103.53 103.53 25.63°
Fractional coordinates of all 12 atoms:
Nd 0.0016 0.0016 0.2259
Nd 0.3323 0.3323 0.4225
Nd 0.3436 0.3436 0.9169
Nd 0.6564 0.6564 0.0831
Nd 0.6677 0.6677 0.5775
Nd 0.9984 0.9984 0.7741
Sn 0.1657 0.1657 0.3312
Sn 0.8343 0.8343 0.6688
Te 0.1683 0.1683 0.8346
Te 0.5000 0.5000 0.5000
Te 0.8317 0.8317 0.1654
P 0.5000 0.5000 0.0000

The density comes out at 6.65 g cm⁻³. Its crystal system is monoclinic. For the calculated total energy, the calculation gives -5.545 eV/atom. Its formation energy (no corrections) is -1.26 eV per atom. As for the calculated volume: 31.6 Å³/atom. The density of states at the Fermi level is 2.92 states/eV/cell.

***

No. 4
Here is a relaxed CdSnSbAu crystal from Alexandria. Energies are from GGA-PBE.

Cell: 5.1746 5.1746 5.1746 Å, 60.00 60.00 60.00°
Fractional coordinates of all 4 atoms:
Cd 0.0000 0.0000 0.0000
Sn 0.5000 0.5000 0.5000
Sb 0.2500 0.2500 0.2500
Au 0.7500 0.7500 0.7500

The density comes out at 9.32 g cm⁻³. Its crystal system is cubic. For the calculated total energy, the calculation gives -3.002 eV/atom. Its formation energy (no corrections) is 0.08 eV per atom. As for the calculated volume: 24.5 Å³/atom. The density of states at the Fermi level is 1.56 states/eV/cell.